Entry 1:
A relaxed SrLiMg crystal, computed with GGA-PBE.

Cell lengths 3.8728, 3.8728, 7.7149 Å; angles 90.00, 90.00, 120.00 degrees
Element x y z (fractional)
Li: 0.0000 0.0000 0.0356
Mg: 0.6667 0.3333 0.3001
Sr: 0.3333 0.6667 0.6643

Properties
VASP energy = -1.57 eV per atom
energy of formation from the pure elements = 0.48 eV/f.u.
SG = P3m1 (156)


Entry 2:
A relaxed Nd4Y4Tm3 crystal, computed with GGA-PBE.

Cell lengths 3.5418, 5.6418, 18.2657 Å; angles 81.13, 84.43, 90.00 degrees
Element x y z (fractional)
Nd: 0.5459 0.5468 0.9082
Nd: 0.4541 0.4532 0.0918
Nd: 0.3203 0.8204 0.3587
Nd: 0.6797 0.1796 0.6413
Y: 0.5908 0.0913 0.8191
Y: 0.2675 0.2673 0.4653
Y: 0.7325 0.7327 0.5347
Y: 0.4093 0.9087 0.1809
Tm: 0.1369 0.6370 0.7267
Tm: 0.8631 0.3630 0.2733
Tm: 0.0000 0.0000 0.0000

Properties
VASP energy = -5.25 eV per atom
energy of formation from the pure elements = 0.61 eV/f.u.
SG = P-1 (2)


Entry 3:
A relaxed FeCo2Sb2 crystal, computed with GGA-PBE.

Cell lengths 3.2877, 3.2877, 7.9962 Å; angles 78.14, 78.14, 90.00 degrees
Each line ends with the local moment (μB).
Element x y z (fractional)
Sb: 0.3923 0.3923 0.2154  -0.04
Sb: 0.6077 0.6077 0.7846  -0.04
Co: 0.7500 0.2500 0.5000  1.40
Co: 0.2500 0.7500 0.5000  1.40
Fe: 0.0000 0.0000 0.0000  1.96

Properties
VASP energy = -5.78 eV per atom
SG = I4/mmm (139)


Repeat the first record exactly.
A relaxed SrLiMg crystal, computed with GGA-PBE.

Cell lengths 3.8728, 3.8728, 7.7149 Å; angles 90.00, 90.00, 120.00 degrees
Element x y z (fractional)
Li: 0.0000 0.0000 0.0356
Mg: 0.6667 0.3333 0.3001
Sr: 0.3333 0.6667 0.6643

Properties
VASP energy = -1.57 eV per atom
energy of formation from the pure elements = 0.48 eV/f.u.
SG = P3m1 (156)